Material: Li2TlAs
Method: DFT, PBEsol
State: optimized geometry

abc: 3.2955 4.6470 4.6845
angles: 90.00 90.00 90.00
Space group Pmm2 (No. 25)
Inequivalent atoms, fractional coordinates:
Li: 0.0000 0.0000 0.0000 (multiplicity 1)
Li: 0.0000 0.5000 0.4397 (multiplicity 1)
Tl: 0.5000 0.5000 0.9390 (multiplicity 1)
As: 0.5000 0.0000 0.4910 (multiplicity 1)

## Properties
As for the formation energy: -0.349 eV/atom. The value obtained for the volume is 71.74 Å³/f.u.

Material: LiZr2TlAs
Method: DFT, PBEsol
State: optimized geometry

abc: 5.3048 5.3048 4.4242
angles: 90.00 90.00 90.00
Space group P4/mmm (No. 123)
Inequivalent atoms, fractional coordinates:
Li: 0.0000 0.0000 0.0000 (multiplicity 1)
Zr: 0.0000 0.5000 0.5000 (multiplicity 2)
Tl: 0.0000 0.0000 0.5000 (multiplicity 1)
As: 0.5000 0.5000 0.0000 (multiplicity 1)

## Properties
As for the formation energy: 0.676 eV/atom. The value obtained for the volume is 124.50 Å³/f.u.